Run 1
The following is a PBE calculation of crystalline CsRbFe at its relaxed geometry, from OQMD via LeMat-Bulk.

abc: 6.2640 6.2640 6.2640
angles: 60.00 60.00 60.00
Last column: nearest neighbours and their distance in Å.
Atoms (fractional coordinates):
Cs: 0.2500 0.2500 0.2500  4 Fe 3.84
Fe: 0.0000 0.0000 0.0000  4 Cs 3.84, 4 Rb 3.84
Rb: 0.7500 0.7500 0.7500  4 Fe 3.84

Output
Crystal system: cubic
Total magnetic moment (μB/cell): 3.829
SG: F-43m


Run 2
The following is a PBE calculation of crystalline CsRbFe at its relaxed geometry, from OQMD via LeMat-Bulk.

abc: 6.1985 6.1985 6.1985
angles: 60.00 60.00 60.00
Last column: nearest neighbours and their distance in Å.
Atoms (fractional coordinates):
Cs: 0.0000 0.0000 0.0000  4 Rb 3.80, 4 Fe 3.80
Fe: 0.2500 0.2500 0.2500  4 Cs 3.80
Rb: 0.7500 0.7500 0.7500  4 Cs 3.80

Output
Crystal system: cubic
Total magnetic moment (μB/cell): 2.329
SG: F-43m


Order from most stable to least stable according to the calculation: run 1, run 2


Run 1
The following is a PBE calculation of crystalline CsTbFeS3 at its relaxed geometry, from OQMD via LeMat-Bulk.

abc: 4.0259 10.5144 15.4264
angles: 90.00 90.00 90.00
Last column: nearest neighbours and their distance in Å.
Atoms (fractional coordinates):
Cs: 0.7500 0.2508 0.0104  8 S 3.53-3.90
Cs: 0.7500 0.7508 0.4896  8 S 3.53-3.90
Cs: 0.2500 0.2492 0.5104  8 S 3.53-3.90
Cs: 0.2500 0.7492 0.9896  8 S 3.53-3.90
Fe: 0.7500 0.7474 0.2180  4 S 2.29-2.39
Fe: 0.7500 0.2474 0.2820  4 S 2.29-2.39
Fe: 0.2500 0.7526 0.7180  4 S 2.29-2.39
Fe: 0.2500 0.2526 0.7820  4 S 2.29-2.39
S: 0.7500 0.5654 0.1366  1 Fe 2.29
S: 0.7500 0.9298 0.1371  1 Fe 2.29
S: 0.2500 0.2473 0.1982  2 Fe 2.39
S: 0.2500 0.7473 0.3018  2 Fe 2.39
S: 0.7500 0.4298 0.3629  1 Fe 2.29
S: 0.7500 0.0654 0.3634  1 Fe 2.29
S: 0.2500 0.9346 0.6366  1 Fe 2.29
S: 0.2500 0.5702 0.6371  1 Fe 2.29
S: 0.7500 0.2527 0.6982  2 Fe 2.39
S: 0.7500 0.7527 0.8018  2 Fe 2.39
S: 0.2500 0.0702 0.8629  1 Fe 2.29
S: 0.2500 0.4346 0.8634  1 Fe 2.29
Tb: 0.2500 0.4974 0.2498  6 S 2.75-2.76
Tb: 0.2500 0.9974 0.2502  6 S 2.75-2.76
Tb: 0.7500 0.0026 0.7498  6 S 2.75-2.76
Tb: 0.7500 0.5026 0.7502  6 S 2.75-2.76

Output
Crystal system: orthorhombic
Total magnetic moment (μB/cell): 15.997
SG: Pnma


Run 2
The following is a PBE calculation of crystalline CsTbFeS3 at its relaxed geometry, from OQMD via LeMat-Bulk.

abc: 10.4265 4.0367 14.7166
angles: 90.00 90.00 90.00
Last column: nearest neighbours and their distance in Å.
Atoms (fractional coordinates):
Cs: 0.4736 0.2500 0.1595  8 S 3.48-3.58
Cs: 0.9736 0.2500 0.3405  8 S 3.48-3.58
Cs: 0.0264 0.7500 0.6595  8 S 3.48-3.58
Cs: 0.5264 0.7500 0.8405  8 S 3.48-3.58
Fe: 0.1551 0.7500 0.1304  4 S 2.23-2.40
Fe: 0.6551 0.7500 0.3696  4 S 2.23-2.40
Fe: 0.3449 0.2500 0.6304  4 S 2.23-2.40
Fe: 0.8449 0.2500 0.8696  4 S 2.23-2.40
S: 0.2896 0.7500 0.0070  1 Fe 2.29
S: 0.0340 0.2500 0.1075  2 Fe 2.40
S: 0.7368 0.7500 0.2296  1 Fe 2.23
S: 0.2368 0.7500 0.2704  1 Fe 2.23
S: 0.5340 0.2500 0.3925  2 Fe 2.40
S: 0.7896 0.7500 0.4930  1 Fe 2.29
S: 0.2104 0.2500 0.5070  1 Fe 2.29
S: 0.4660 0.7500 0.6075  2 Fe 2.40
S: 0.7632 0.2500 0.7296  1 Fe 2.23
S: 0.2632 0.2500 0.7704  1 Fe 2.23
S: 0.9660 0.7500 0.8925  2 Fe 2.40
S: 0.7104 0.2500 0.9930  1 Fe 2.29
Tb: 0.8515 0.7500 0.0701  6 S 2.63-2.87
Tb: 0.3515 0.7500 0.4299  6 S 2.63-2.87
Tb: 0.6485 0.2500 0.5701  6 S 2.63-2.87
Tb: 0.1485 0.2500 0.9299  6 S 2.63-2.87

Output
Crystal system: orthorhombic
Total magnetic moment (μB/cell): 16.003
SG: Pnma


Run 3
The following is a PBE calculation of crystalline CsTbFeS3 at its relaxed geometry, from OQMD via LeMat-Bulk.

abc: 8.6266 8.6266 8.9718
angles: 101.22 101.22 27.97
Last column: nearest neighbours and their distance in Å.
Atoms (fractional coordinates):
Cs: 0.1565 0.1565 0.0620  7 S 3.31-3.42
Cs: 0.8435 0.8435 0.9380  7 S 3.31-3.42
Fe: 0.4997 0.4997 0.2618  2 S 2.35-2.36
Fe: 0.5003 0.5003 0.7382  2 S 2.35-2.36
S: 0.5000 0.5000 0.0000  2 Fe 2.35
S: 0.3569 0.3569 0.2430  1 Fe 2.36
S: 0.6638 0.6638 0.3642  1 Fe 2.72, 3 Tb 2.78-2.87
S: 0.0000 0.0000 0.5000  2 Tb 2.65
S: 0.3362 0.3362 0.6358  1 Fe 2.72, 3 Tb 2.78-2.87
S: 0.6431 0.6431 0.7570  1 Fe 2.36
Tb: 0.8386 0.8386 0.4312  6 S 2.65-2.87
Tb: 0.1614 0.1614 0.5688  6 S 2.65-2.87

Output
Crystal system: monoclinic
Total magnetic moment (μB/cell): 8.005
SG: C2/m


Order from most stable to least stable according to the calculation: run 1, run 2, run 3